Compound: Pr4Nd2Y2Er
Source: Alexandria via LeMat-Bulk
Functional: PBE
Structure: relaxed

The structure in CIF format:
```
data_Pr4Nd2Y2Er
_symmetry_space_group_name_H-M 'P 1'
_symmetry_Int_Tables_number 1
_cell_length_a 3.695
_cell_length_b 9.716
_cell_length_c 9.801
_cell_angle_alpha 115.11
_cell_angle_beta 90.00
_cell_angle_gamma 100.96
loop_
_symmetry_equiv_pos_as_xyz
'x,y,z'
loop_
_atom_site_label
_atom_site_type_symbol
_atom_site_fract_x
_atom_site_fract_y
_atom_site_fract_z
Nd1 Nd 0.665 0.331 0.999
Nd2 Nd 0.335 0.669 0.001
Pr1 Pr 0.518 0.036 0.332
Pr2 Pr 0.482 0.964 0.668
Pr3 Pr 0.185 0.371 0.332
Pr4 Pr 0.815 0.629 0.668
Er1 Er 0.000 0.000 0.000
Y1 Y 0.852 0.704 0.331
Y2 Y 0.148 0.296 0.669
```

As for the magnetization: 0.0 μB/cell. The density of states at the Fermi level is 12.02 states/eV per cell. The calculation puts the calculated volume at 34.62 Å³ per atom. Its formation energy is 0.01 eV/atom.

=====

Compound: Ca3In2Ga2Au4
Source: Alexandria via LeMat-Bulk
Functional: PBE
Structure: relaxed

The structure in CIF format:
```
data_Ca3In2Ga2Au4
_symmetry_space_group_name_H-M 'P 1'
_symmetry_Int_Tables_number 1
_cell_length_a 4.665
_cell_length_b 4.665
_cell_length_c 13.697
_cell_angle_alpha 90.00
_cell_angle_beta 90.00
_cell_angle_gamma 120.00
loop_
_symmetry_equiv_pos_as_xyz
'x,y,z'
loop_
_atom_site_label
_atom_site_type_symbol
_atom_site_fract_x
_atom_site_fract_y
_atom_site_fract_z
Ga1 Ga 0.667 0.333 0.858
Ga2 Ga 0.333 0.667 0.142
Au1 Au 0.667 0.333 0.129
Au2 Au 0.333 0.667 0.871
Au3 Au 0.667 0.333 0.638
Au4 Au 0.333 0.667 0.362
In1 In 0.333 0.667 0.570
In2 In 0.667 0.333 0.430
Ca1 Ca 0.000 0.000 0.737
Ca2 Ca 0.000 0.000 0.000
Ca3 Ca 0.000 0.000 0.263
```

As for the magnetization: 0.0 μB/cell. The density of states at the Fermi level is 6.09 states/eV per cell. The calculation puts the calculated volume at 23.47 Å³ per atom. Its formation energy is -0.60 eV/atom.

=====

Compound: La2NiPtN
Source: Alexandria via LeMat-Bulk
Functional: PBE
Structure: relaxed

The structure in CIF format:
```
data_La2NiPtN
_symmetry_space_group_name_H-M 'P 1'
_symmetry_Int_Tables_number 1
_cell_length_a 3.946
_cell_length_b 6.555
_cell_length_c 8.253
_cell_angle_alpha 107.85
_cell_angle_beta 90.00
_cell_angle_gamma 90.00
loop_
_symmetry_equiv_pos_as_xyz
'x,y,z'
loop_
_atom_site_label
_atom_site_type_symbol
_atom_site_fract_x
_atom_site_fract_y
_atom_site_fract_z
La1 La 0.750 0.780 0.038
La2 La 0.250 0.196 0.385
La3 La 0.250 0.220 0.962
La4 La 0.750 0.804 0.615
Pt1 Pt 0.750 0.294 0.688
Pt2 Pt 0.250 0.706 0.312
Ni1 Ni 0.750 0.458 0.247
Ni2 Ni 0.250 0.542 0.753
N1 N 0.250 0.843 0.839
N2 N 0.750 0.157 0.161
```

As for the magnetization: 0.0 μB/cell. The density of states at the Fermi level is 4.74 states/eV per cell. The calculation puts the calculated volume at 20.32 Å³ per atom. Its offset from the most stable computed form is 0.0 meV/atom.

=====

Compound: CdGeO3
Source: Alexandria via LeMat-Bulk
Functional: PBE
Structure: relaxed

The structure in CIF format:
```
data_CdGeO3
_symmetry_space_group_name_H-M 'P 1'
_symmetry_Int_Tables_number 1
_cell_length_a 5.903
_cell_length_b 5.903
_cell_length_c 5.903
_cell_angle_alpha 52.19
_cell_angle_beta 52.19
_cell_angle_gamma 52.19
loop_
_symmetry_equiv_pos_as_xyz
'x,y,z'
loop_
_atom_site_label
_atom_site_type_symbol
_atom_site_fract_x
_atom_site_fract_y
_atom_site_fract_z
Ge1 Ge 0.160 0.160 0.160
Ge2 Ge 0.840 0.840 0.840
O1 O 0.560 0.188 0.965
O2 O 0.965 0.560 0.188
O3 O 0.812 0.035 0.440
O4 O 0.440 0.812 0.035
O5 O 0.188 0.965 0.560
O6 O 0.035 0.440 0.812
Cd1 Cd 0.367 0.367 0.367
Cd2 Cd 0.633 0.633 0.633
```

The total energy is -5.51 eV per atom. As for the magnetization: 0.0 μB/cell. The calculation puts the calculated volume at 11.87 Å³ per atom.